1.
# BeZnCu2 (GGA-PBEsol, relaxed)
# - Fermi-level density of states: 1.09 states/eV/cell
# - Offset from the most stable computed form: 9.4 meV/atom
# - Calculated volume: 11.0 Å³ per atom
# - Crystal system: tetragonal
# - Magnetic moment: 0.000 μB/cell
# - Formation enthalpy at 0 K: -0.04 eV/atom
# - Space-group type: P4/mmm
data_BeZnCu2
_cell_length_a 3.602
_cell_length_b 3.602
_cell_length_c 3.400
_cell_angle_alpha 90.00
_cell_angle_beta 90.00
_cell_angle_gamma 90.00
_symmetry_space_group_name_H-M 'P 1'
_symmetry_Int_Tables_number 1
_symmetry_space_group_name_Hall 'P 1'
loop_
_atom_site_label
_atom_site_type_symbol
_atom_site_fract_x
_atom_site_fract_y
_atom_site_fract_z
Be1 Be 0.000 0.000 0.000
Zn1 Zn 0.500 0.500 0.000
Cu1 Cu 0.000 0.500 0.500
Cu2 Cu 0.500 0.000 0.500


2.
# BeZn2Cu (GGA-PBEsol, relaxed)
# - Fermi-level density of states: 0.56 states/eV/cell
# - Calculated volume: 11.5 Å³ per atom
# - Crystal system: tetragonal
# - Magnetic moment: 0.000 μB/cell
# - Formation enthalpy at 0 K: -0.02 eV/atom
# - Space-group type: P4mm
data_BeZn2Cu
_cell_length_a 2.814
_cell_length_b 2.814
_cell_length_c 5.823
_cell_angle_alpha 90.00
_cell_angle_beta 90.00
_cell_angle_gamma 90.00
_symmetry_space_group_name_H-M 'P 1'
_symmetry_Int_Tables_number 1
_symmetry_space_group_name_Hall 'P 1'
loop_
_atom_site_label
_atom_site_type_symbol
_atom_site_fract_x
_atom_site_fract_y
_atom_site_fract_z
Be1 Be 0.000 0.000 0.000
Zn1 Zn 0.000 0.000 0.461
Zn2 Zn 0.500 0.500 0.754
Cu1 Cu 0.500 0.500 0.193


3.
# Zr2BeCu (GGA-PBEsol, relaxed)
# - Fermi-level density of states: 3.65 states/eV/cell
# - Calculated volume: 16.2 Å³ per atom
# - Crystal system: monoclinic
# - Magnetic moment: 0.000 μB/cell
# - Formation enthalpy at 0 K: -0.09 eV/atom
# - Space-group type: Pm
data_Zr2BeCu
_cell_length_a 3.212
_cell_length_b 3.915
_cell_length_c 5.413
_cell_angle_alpha 90.00
_cell_angle_beta 107.33
_cell_angle_gamma 90.00
_symmetry_space_group_name_H-M 'P 1'
_symmetry_Int_Tables_number 1
_symmetry_space_group_name_Hall 'P 1'
loop_
_atom_site_label
_atom_site_type_symbol
_atom_site_fract_x
_atom_site_fract_y
_atom_site_fract_z
Zr1 Zr 0.000 0.000 0.000
Zr2 Zr 0.310 0.500 0.618
Be1 Be 0.585 0.500 0.172
Cu1 Cu 0.715 0.000 0.428


4.
# ZrBe2Cu (GGA-PBEsol, relaxed)
# - Fermi-level density of states: 2.13 states/eV/cell
# - Calculated volume: 12.3 Å³ per atom
# - Crystal system: orthorhombic
# - Magnetic moment: 0.000 μB/cell
# - Formation enthalpy at 0 K: -0.01 eV/atom
# - Space-group type: Pmm2
data_ZrBe2Cu
_cell_length_a 2.774
_cell_length_b 2.818
_cell_length_c 6.299
_cell_angle_alpha 90.00
_cell_angle_beta 90.00
_cell_angle_gamma 90.00
_symmetry_space_group_name_H-M 'P 1'
_symmetry_Int_Tables_number 1
_symmetry_space_group_name_Hall 'P 1'
loop_
_atom_site_label
_atom_site_type_symbol
_atom_site_fract_x
_atom_site_fract_y
_atom_site_fract_z
Zr1 Zr 0.000 0.000 0.000
Be1 Be 0.000 0.000 0.480
Be2 Be 0.500 0.500 0.302
Cu1 Cu 0.500 0.500 0.675


5.
# Zr2BeCu (GGA-PBEsol, relaxed)
# - Fermi-level density of states: 2.59 states/eV/cell
# - Calculated volume: 16.0 Å³ per atom
# - Crystal system: tetragonal
# - Magnetic moment: 0.000 μB/cell
# - Formation enthalpy at 0 K: -0.10 eV/atom
# - Space-group type: P4/mmm
data_Zr2BeCu
_cell_length_a 3.122
_cell_length_b 3.122
_cell_length_c 6.580
_cell_angle_alpha 90.00
_cell_angle_beta 90.00
_cell_angle_gamma 90.00
_symmetry_space_group_name_H-M 'P 1'
_symmetry_Int_Tables_number 1
_symmetry_space_group_name_Hall 'P 1'
loop_
_atom_site_label
_atom_site_type_symbol
_atom_site_fract_x
_atom_site_fract_y
_atom_site_fract_z
Zr1 Zr 0.000 0.000 0.241
Zr2 Zr 0.000 0.000 0.759
Be1 Be 0.500 0.500 0.000
Cu1 Cu 0.500 0.500 0.500


6.
# Zr2Be2Cu (GGA-PBEsol, relaxed)
# - Fermi-level density of states: 8.97 states/eV/cell
# - Calculated volume: 14.5 Å³ per atom
# - Crystal system: tetragonal
# - Magnetic moment: 0.000 μB/cell
# - Formation enthalpy at 0 K: -0.15 eV/atom
# - Space-group type: P4/mbm
data_Zr2Be2Cu
_cell_length_a 6.100
_cell_length_b 6.100
_cell_length_c 3.898
_cell_angle_alpha 90.00
_cell_angle_beta 90.00
_cell_angle_gamma 90.00
_symmetry_space_group_name_H-M 'P 1'
_symmetry_Int_Tables_number 1
_symmetry_space_group_name_Hall 'P 1'
loop_
_atom_site_label
_atom_site_type_symbol
_atom_site_fract_x
_atom_site_fract_y
_atom_site_fract_z
Zr1 Zr 0.173 0.327 0.000
Zr2 Zr 0.327 0.827 0.000
Zr3 Zr 0.673 0.173 0.000
Zr4 Zr 0.827 0.673 0.000
Be1 Be 0.128 0.628 0.500
Be2 Be 0.372 0.128 0.500
Be3 Be 0.628 0.872 0.500
Be4 Be 0.872 0.372 0.500
Cu1 Cu 0.000 0.000 0.500
Cu2 Cu 0.500 0.500 0.500


7.
# Zr6Be15Cu8 (GGA-PBEsol, relaxed)
# - Fermi-level density of states: 10.82 states/eV/cell
# - Calculated volume: 11.6 Å³ per atom
# - Crystal system: cubic
# - Magnetic moment: 0.000 μB/cell
# - Formation enthalpy at 0 K: -0.27 eV/atom
# - Space-group type: Fm-3m
data_Zr6Be15Cu8
_cell_length_a 7.809
_cell_length_b 7.809
_cell_length_c 7.809
_cell_angle_alpha 60.00
_cell_angle_beta 60.00
_cell_angle_gamma 60.00
_symmetry_space_group_name_H-M 'P 1'
_symmetry_Int_Tables_number 1
_symmetry_space_group_name_Hall 'P 1'
loop_
_atom_site_label
_atom_site_type_symbol
_atom_site_fract_x
_atom_site_fract_y
_atom_site_fract_z
Zr1 Zr 0.203 0.203 0.797
Zr2 Zr 0.203 0.797 0.203
Zr3 Zr 0.203 0.797 0.797
Zr4 Zr 0.797 0.203 0.203
Zr5 Zr 0.797 0.203 0.797
Zr6 Zr 0.797 0.797 0.203
Be1 Be 0.000 0.000 0.500
Be2 Be 0.000 0.500 0.000
Be3 Be 0.000 0.500 0.500
Be4 Be 0.177 0.177 0.177
Be5 Be 0.177 0.177 0.470
Be6 Be 0.177 0.470 0.177
Be7 Be 0.470 0.177 0.177
Be8 Be 0.500 0.000 0.000
Be9 Be 0.500 0.000 0.500
Be10 Be 0.500 0.500 0.000
Be11 Be 0.500 0.500 0.500
Be12 Be 0.530 0.823 0.823
Be13 Be 0.823 0.530 0.823
Be14 Be 0.823 0.823 0.530
Be15 Be 0.823 0.823 0.823
Cu1 Cu 0.131 0.623 0.623
Cu2 Cu 0.377 0.377 0.377
Cu3 Cu 0.377 0.377 0.869
Cu4 Cu 0.377 0.869 0.377
Cu5 Cu 0.623 0.131 0.623
Cu6 Cu 0.623 0.623 0.131
Cu7 Cu 0.623 0.623 0.623
Cu8 Cu 0.869 0.377 0.377


8.
# DyBe13 (GGA-PBEsol, relaxed)
# - Fermi-level density of states: 6.94 states/eV/cell
# - Calculated volume: 9.3 Å³ per atom
# - Crystal system: cubic
# - Magnetic moment: 0.001 μB/cell
# - Formation enthalpy at 0 K: -0.18 eV/atom
# - Space-group type: Fm-3c
data_DyBe13
_cell_length_a 7.161
_cell_length_b 7.161
_cell_length_c 7.161
_cell_angle_alpha 60.00
_cell_angle_beta 60.00
_cell_angle_gamma 60.00
_symmetry_space_group_name_H-M 'P 1'
_symmetry_Int_Tables_number 1
_symmetry_space_group_name_Hall 'P 1'
loop_
_atom_site_label
_atom_site_type_symbol
_atom_site_fract_x
_atom_site_fract_y
_atom_site_fract_z
Dy1 Dy 0.250 0.250 0.250
Dy2 Dy 0.750 0.750 0.750
Be1 Be 0.000 0.000 0.000
Be2 Be 0.062 0.291 0.709
Be3 Be 0.062 0.709 0.938
Be4 Be 0.062 0.938 0.291
Be5 Be 0.209 0.438 0.791
Be6 Be 0.209 0.562 0.438
Be7 Be 0.209 0.791 0.562
Be8 Be 0.291 0.062 0.938
Be9 Be 0.291 0.709 0.062
Be10 Be 0.291 0.938 0.709
Be11 Be 0.438 0.209 0.562
Be12 Be 0.438 0.562 0.791
Be13 Be 0.438 0.791 0.209
Be14 Be 0.500 0.500 0.500
Be15 Be 0.562 0.209 0.791
Be16 Be 0.562 0.438 0.209
Be17 Be 0.562 0.791 0.438
Be18 Be 0.709 0.062 0.291
Be19 Be 0.709 0.291 0.938
Be20 Be 0.709 0.938 0.062
Be21 Be 0.791 0.209 0.438
Be22 Be 0.791 0.438 0.562
Be23 Be 0.791 0.562 0.209
Be24 Be 0.938 0.062 0.709
Be25 Be 0.938 0.291 0.062
Be26 Be 0.938 0.709 0.291


9.
# Sr2EuBeO5 (GGA-PBEsol, relaxed)
# - Fermi-level density of states: 29.18 states/eV/cell
# - Calculated volume: 12.6 Å³ per atom
# - Crystal system: orthorhombic
# - Magnetic moment: 19.980 μB/cell
# - Space-group type: Pnma
# - ΔE_f (raw): -23.864 eV/f.u.
data_Sr2EuBeO5
_cell_length_a 9.518
_cell_length_b 7.250
_cell_length_c 6.551
_cell_angle_alpha 90.00
_cell_angle_beta 90.00
_cell_angle_gamma 90.00
_symmetry_space_group_name_H-M 'P 1'
_symmetry_Int_Tables_number 1
_symmetry_space_group_name_Hall 'P 1'
loop_
_atom_site_label
_atom_site_type_symbol
_atom_site_fract_x
_atom_site_fract_y
_atom_site_fract_z
Sr1 Sr 0.173 0.023 0.093
Sr2 Sr 0.173 0.477 0.093
Sr3 Sr 0.327 0.523 0.593
Sr4 Sr 0.327 0.977 0.593
Sr5 Sr 0.673 0.023 0.407
Sr6 Sr 0.673 0.477 0.407
Sr7 Sr 0.827 0.523 0.907
Sr8 Sr 0.827 0.977 0.907
Eu1 Eu 0.022 0.250 0.583
Eu2 Eu 0.478 0.750 0.083
Eu3 Eu 0.522 0.250 0.917
Eu4 Eu 0.978 0.750 0.417
Be1 Be 0.100 0.750 0.818
Be2 Be 0.400 0.250 0.318
Be3 Be 0.600 0.750 0.682
Be4 Be 0.900 0.250 0.182
O1 O 0.008 0.750 0.029
O2 O 0.064 0.562 0.689
O3 O 0.064 0.938 0.689
O4 O 0.208 0.750 0.344
O5 O 0.228 0.250 0.383
O6 O 0.272 0.750 0.883
O7 O 0.292 0.250 0.844
O8 O 0.436 0.062 0.189
O9 O 0.436 0.438 0.189
O10 O 0.492 0.250 0.529
O11 O 0.508 0.750 0.471
O12 O 0.564 0.562 0.811
O13 O 0.564 0.938 0.811
O14 O 0.708 0.750 0.156
O15 O 0.728 0.250 0.117
O16 O 0.772 0.750 0.617
O17 O 0.792 0.250 0.656
O18 O 0.936 0.062 0.311
O19 O 0.936 0.438 0.311
O20 O 0.992 0.250 0.971


10.
# BeFeF3 (GGA-PBEsol, relaxed)
# - Fermi-level density of states: 2.56 states/eV/cell
# - Calculated volume: 9.0 Å³ per atom
# - Crystal system: cubic
# - Magnetic moment: 3.289 μB/cell
# - Space-group type: Pm-3m
# - ΔE_f (raw): -8.455 eV/f.u.
data_BeFeF3
_cell_length_a 3.562
_cell_length_b 3.562
_cell_length_c 3.562
_cell_angle_alpha 90.00
_cell_angle_beta 90.00
_cell_angle_gamma 90.00
_symmetry_space_group_name_H-M 'P 1'
_symmetry_Int_Tables_number 1
_symmetry_space_group_name_Hall 'P 1'
loop_
_atom_site_label
_atom_site_type_symbol
_atom_site_fract_x
_atom_site_fract_y
_atom_site_fract_z
Be1 Be 0.000 0.000 0.000
Fe1 Fe 0.500 0.500 0.500
F1 F 0.000 0.000 0.500
F2 F 0.000 0.500 0.000
F3 F 0.500 0.000 0.000


11.
# BeFe3F (GGA-PBEsol, relaxed)
# - Fermi-level density of states: 4.80 states/eV/cell
# - Calculated volume: 11.8 Å³ per atom
# - Crystal system: cubic
# - Magnetic moment: 8.035 μB/cell
# - Space-group type: Pm-3m
# - ΔE_f (raw): 2.525 eV/f.u.
data_BeFe3F
_cell_length_a 3.893
_cell_length_b 3.893
_cell_length_c 3.893
_cell_angle_alpha 90.00
_cell_angle_beta 90.00
_cell_angle_gamma 90.00
_symmetry_space_group_name_H-M 'P 1'
_symmetry_Int_Tables_number 1
_symmetry_space_group_name_Hall 'P 1'
loop_
_atom_site_label
_atom_site_type_symbol
_atom_site_fract_x
_atom_site_fract_y
_atom_site_fract_z
Be1 Be 0.000 0.000 0.000
Fe1 Fe 0.000 0.500 0.500
Fe2 Fe 0.500 0.000 0.500
Fe3 Fe 0.500 0.500 0.000
F1 F 0.500 0.500 0.500


12.
# Be3FeF (GGA-PBEsol, relaxed)
# - Fermi-level density of states: 1.35 states/eV/cell
# - Calculated volume: 8.8 Å³ per atom
# - Crystal system: cubic
# - Magnetic moment: 1.154 μB/cell
# - Space-group type: Pm-3m
# - ΔE_f (raw): -0.576 eV/f.u.
data_Be3FeF
_cell_length_a 3.533
_cell_length_b 3.533
_cell_length_c 3.533
_cell_angle_alpha 90.00
_cell_angle_beta 90.00
_cell_angle_gamma 90.00
_symmetry_space_group_name_H-M 'P 1'
_symmetry_Int_Tables_number 1
_symmetry_space_group_name_Hall 'P 1'
loop_
_atom_site_label
_atom_site_type_symbol
_atom_site_fract_x
_atom_site_fract_y
_atom_site_fract_z
Be1 Be 0.000 0.000 0.500
Be2 Be 0.000 0.500 0.000
Be3 Be 0.500 0.000 0.000
Fe1 Fe 0.500 0.500 0.500
F1 F 0.000 0.000 0.000